1.
First-principles (GGA-PBE) data for a relaxed structure of LaPmPa2As4, as listed in Alexandria via LeMat-Bulk.

abc: 5.9244 5.9244 11.8682
angles: 90.00 90.00 90.00
Atoms (fractional coordinates):
La1 0.0000 0.0000 0.0000
La2 0.5000 0.5000 0.5000
Pm1 0.0000 0.5000 0.7500
Pm2 0.5000 0.0000 0.2500
Pa1 0.0000 0.0000 0.5000
Pa2 0.0000 0.5000 0.2500
Pa3 0.5000 0.0000 0.7500
Pa4 0.5000 0.5000 0.0000
As1 0.0000 0.0000 0.2574
As2 0.0000 0.0000 0.7426
As3 0.0000 0.5000 0.0055
As4 0.0000 0.5000 0.4945
As5 0.5000 0.0000 0.5055
As6 0.5000 0.0000 0.9945
As7 0.5000 0.5000 0.2426
As8 0.5000 0.5000 0.7574

Calculated values
- energy of formation from the pure elements (eV/atom) = -1.273

2.
First-principles (GGA-PBE) data for a relaxed structure of La3SmCu4, as listed in Alexandria via LeMat-Bulk.

abc: 5.1486 5.1486 7.2164
angles: 90.00 90.00 90.00
Atoms (fractional coordinates):
La1 0.0000 0.0000 0.0000
La2 0.0000 0.0000 0.5000
La3 0.5000 0.5000 0.0000
Sm1 0.5000 0.5000 0.5000
Cu1 0.0000 0.5000 0.2595
Cu2 0.0000 0.5000 0.7405
Cu3 0.5000 0.0000 0.2595
Cu4 0.5000 0.0000 0.7405

Calculated values
- energy of formation from the pure elements (eV/atom) = -0.142

3.
First-principles (GGA-PBE) data for a relaxed structure of LaP3N, as listed in Alexandria via LeMat-Bulk.

abc: 5.6257 5.6257 5.6257
angles: 90.00 90.00 90.00
Atoms (fractional coordinates):
La1 0.0000 0.0000 0.0000
P1 0.0000 0.0000 0.5000
P2 0.0000 0.5000 0.0000
P3 0.5000 0.0000 0.0000
N1 0.5000 0.5000 0.5000

Calculated values
- ΔE_f (raw) (eV/atom) = 1.92
- energy above the most stable polymorph in this dataset (eV per formula unit) = 9.17

4.
First-principles (GGA-PBE) data for a relaxed structure of BeAlSiNi2, as listed in Alexandria via LeMat-Bulk.

abc: 4.2911 4.2911 4.5042
angles: 90.00 90.00 90.00
Atoms (fractional coordinates):
Be1 0.0000 0.0000 0.0000
Al1 0.5000 0.5000 0.5000
Si1 0.5000 0.5000 0.0000
Ni1 0.0000 0.5000 0.5000
Ni2 0.5000 0.0000 0.5000

Calculated values
- ΔE_f (raw) (eV/atom) = 1.09

5.
First-principles (GGA-PBE) data for a relaxed structure of PaP2Rh3, as listed in Alexandria via LeMat-Bulk.

abc: 7.7614 7.7614 7.7614
angles: 151.61 119.07 68.55
Atoms (fractional coordinates):
Pa1 0.1473 0.1473 0.0000
Pa2 0.8527 0.8527 0.0000
P1 0.1439 0.5000 0.6439
P2 0.3453 0.8453 0.5000
P3 0.6547 0.1547 0.5000
P4 0.8561 0.5000 0.3561
Rh1 0.1344 0.3297 0.8048
Rh2 0.3239 0.0000 0.3239
Rh3 0.4751 0.6703 0.8048
Rh4 0.5249 0.3297 0.1952
Rh5 0.6761 0.0000 0.6761
Rh6 0.8656 0.6703 0.1952

Calculated values
- energy of formation from the pure elements (eV/atom) = -0.763

Number 1: spin magnetization 1.3 μB/f.u.. Number 2: spin magnetization 0.0 μB/f.u.. Number 3: spin magnetization 2.8 μB/f.u.. Number 4: spin magnetization 0.0 μB/f.u.. Number 5: spin magnetization 0.0 μB/f.u..